Li3Fe2Si2O8 after structural relaxation. Source: Alexandria, functional PBE with a Hubbard U.

The structure in POSCAR format:
```
Li3Fe2Si2O8
1.0
5.022 0.000 0.000
0.099 5.523 0.000
0.080 0.098 6.224
Li Fe Si O
3 2 2 8
Direct
0.000 0.000 0.000 Li
0.006 0.993 0.488 Li
0.499 0.664 0.999 Li
0.508 0.164 0.253 Fe
0.999 0.496 0.736 Fe
0.510 0.161 0.751 Si
0.981 0.495 0.239 Si
0.075 0.637 0.461 O
0.096 0.211 0.241 O
0.097 0.639 0.013 O
0.175 0.181 0.744 O
0.596 0.003 0.966 O
0.624 0.035 0.536 O
0.630 0.438 0.770 O
0.660 0.498 0.230 O
```

mass density	3.05	Mg/m³
V	172.64	Å³/cell
uncorrected energy	-6.6916	eV per atom
space group	No. 1